No. 1
The following is a PBE calculation of an optimized crystal structure of WSe3, from Alexandria via LeMat-Bulk.

relative energy among the computed polymorphs: 482 meV per atom
density of states at the Fermi level: 0.8366 states/eV per atom
mass density: 7.91 g cm⁻³

a = 3.119 Å, b = 4.572 Å, c = 12.388 Å
α = 90.00°, β = 90.00°, γ = 90.00°
Space group Immm (No. 71)
Unique sites:
1 W 0.000 0.000 0.000 [2 per cell]
2 Se 0.000 0.000 0.500 [2 per cell]
3 Se 0.000 0.500 0.334 [4 per cell]

No. 2
The following is a PBE calculation of an optimized crystal structure of WSe, from Alexandria via LeMat-Bulk.

relative energy among the computed polymorphs: 862 meV per atom
density of states at the Fermi level: 0.6709 states/eV per atom
mass density: 9.30 g cm⁻³

a = 6.231 Å, b = 6.231 Å, c = 4.836 Å
α = 90.00°, β = 90.00°, γ = 90.00°
Space group P4_2/mnm (No. 136)
Unique sites:
1 W 0.126 0.126 0.000 [4 per cell]
2 Se 0.218 0.218 0.500 [4 per cell]

No. 3
The following is a PBE calculation of an optimized crystal structure of WSe3, from Alexandria via LeMat-Bulk.

relative energy among the computed polymorphs: 889 meV per atom
density of states at the Fermi level: 0.6294 states/eV per atom
mass density: 9.96 g cm⁻³

a = 4.626 Å, b = 4.626 Å, c = 6.557 Å
α = 90.00°, β = 90.00°, γ = 90.00°
Space group I4/mmm (No. 139)
Unique sites:
1 W 0.000 0.000 0.000 [2 per cell]
2 Se 0.000 0.000 0.500 [2 per cell]
3 Se 0.000 0.500 0.250 [4 per cell]

No. 4
The following is a PBE calculation of an optimized crystal structure of WSe4, from Alexandria via LeMat-Bulk.

relative energy among the computed polymorphs: 429 meV per atom
density of states at the Fermi level: 0.7229 states/eV per atom
mass density: 6.58 g cm⁻³

a = 5.512 Å, b = 5.512 Å, c = 8.296 Å
α = 90.00°, β = 90.00°, γ = 90.00°
Space group I4/mmm (No. 139)
Unique sites:
1 W 0.000 0.000 0.000 [2 per cell]
2 Se 0.000 0.000 0.297 [4 per cell]
3 Se 0.000 0.500 0.250 [4 per cell]

These records have energy relative to the elements, uncorrected values of 0.23 0.69 0.64 0.88 eV per atom, in the order they appear.
These records have E_tot values of -5.62 -7.52 -5.21 -4.50 eV/atom, in the order they appear.
These records have total moment values of 0.00 0.00 0.00 0.63 μB/atom, in the order they appear.